Here is a geometry-optimized AcPm2 structure from OQMD. Energies are from PBE-GGA.

abc: 9.8193 9.8193 9.8193
angles: 60.00 60.00 60.00
Sites, in units of the cell vectors:
Pm  0.3750  0.8750  0.3750
Pm  0.3750  0.3750  0.3750
Pm  0.8750  0.3750  0.3750
Pm  0.3750  0.3750  0.8750
Ac  0.5000  0.5000  0.5000
Ac  0.2500  0.2500  0.2500

Computed properties:
Formation energy from the elements   2.35 eV/atom
Total magnetization   0.00 μB per cell

Here is a geometry-optimized AlFeReHg structure from OQMD. Energies are from PBE-GGA.

abc: 4.4401 4.4401 4.4401
angles: 60.00 60.00 60.00
Sites, in units of the cell vectors:
Hg  0.5000  0.5000  0.5000
Al  0.0000  0.0000  0.0000
Re  0.2500  0.2500  0.2500
Fe  0.7500  0.7500  0.7500

Computed properties:
Total magnetization   2.84 μB per cell
Offset from the most stable computed form   0.00 kJ per mole of atoms

Here is a geometry-optimized CsGdCoSe3 structure from OQMD. Energies are from PBE-GGA.

abc: 8.7501 8.7501 9.0405
angles: 101.06 101.06 29.02
Each line ends with the local moment (μB).
Sites, in units of the cell vectors:
Se  0.3411  0.3411  0.1396  0.01
Se  0.6589  0.6589  0.8604  0.01
Se  0.6362  0.6362  0.2657  -0.01
Se  0.0000  0.0000  0.0000  0.10
Se  0.3638  0.3638  0.7343  -0.01
Se  0.5000  0.5000  0.5000  0.18
Gd  0.8359  0.8359  0.9227  -0.01
Gd  0.1641  0.1641  0.0773  -0.01
Cs  0.8433  0.8433  0.4337  0.01
Cs  0.1567  0.1567  0.5663  0.01
Co  0.5072  0.5072  0.7680  1.74
Co  0.4928  0.4928  0.2320  1.74

Computed properties:
Total magnetization   4.02 μB per cell
Offset from the most stable computed form   26.56 kJ per mole of atoms

Here is a geometry-optimized Hf2CuB structure from OQMD. Energies are from PBE-GGA.

abc: 4.4643 4.4643 4.4643
angles: 60.00 60.00 60.00
Each line ends with the local moment (μB).
Sites, in units of the cell vectors:
Hf  0.7500  0.7500  0.7500  0.44
Hf  0.0000  0.0000  0.0000  0.43
Cu  0.2500  0.2500  0.2500  0.08
B  0.5000  0.5000  0.5000  0.01

Computed properties:
Calculated total energy   -26.63 eV for the cell shown
Total magnetization   1.16 μB per cell